VASP calculation (GGA-PBE) on an optimized crystal structure of RbNa2Hg2Au2.

Properties
Total magnetic moment (μB per cell): 0.0
Space group: R-3m, No. 166
DFT formation energy (eV per atom): -0.248
Volume (Å³/atom): 29.33

a b c (Å): 4.977 4.977 9.994
angles (deg): 75.58 75.58 60.00
Fractional coordinates of all 7 atoms:
Hg1 0.247 0.247 0.260
Na1 0.866 0.866 0.402
Rb1 0.000 0.000 0.000
Hg2 0.753 0.753 0.740
Au1 0.573 0.573 0.280
Au2 0.427 0.427 0.720
Na2 0.134 0.134 0.598


VASP calculation (GGA-PBE) on an optimized crystal structure of RbNa2HgAu.

Properties
Energy above the most stable polymorph in this dataset (meV/atom): 0
Total magnetic moment (μB per cell): 0.0
Space group: P4/mmm, No. 123
DFT formation energy (eV per atom): -0.174
Volume (Å³/atom): 36.12

a b c (Å): 5.744 5.744 5.474
angles (deg): 90.00 90.00 90.00
Fractional coordinates of all 5 atoms:
Au1 0.000 0.000 0.000
Hg1 0.000 0.000 0.500
Na1 0.500 0.000 0.000
Na2 0.000 0.500 0.000
Rb1 0.500 0.500 0.500


VASP calculation (GGA-PBE) on an optimized crystal structure of RbNa2HgAu.

Properties
Energy above the most stable polymorph in this dataset (meV/atom): 84
Total magnetic moment (μB per cell): 0.0
Space group: P4/mmm, No. 123
DFT formation energy (eV per atom): -0.090
Volume (Å³/atom): 36.71

a b c (Å): 5.795 5.795 5.466
angles (deg): 90.00 90.00 90.00
Fractional coordinates of all 5 atoms:
Na1 0.500 0.000 0.000
Na2 0.000 0.500 0.000
Rb1 0.500 0.500 0.500
Hg1 0.000 0.000 0.000
Au1 0.000 0.000 0.500


VASP calculation (GGA-PBE) on an optimized crystal structure of NaHgSbAu.

Properties
Energy above the most stable polymorph in this dataset (meV/atom): 0
E_form (uncorrected) (eV/atom): -0.199
Total magnetic moment (μB per cell): 0.0
Space group: Cm, No. 8
Volume (Å³/atom): 26.24

a b c (Å): 4.698 4.706 6.110
angles (deg): 112.58 90.00 119.95
Fractional coordinates of all 4 atoms:
Au1 0.809 0.618 0.018
Hg1 0.371 0.742 0.709
Na1 0.610 0.219 0.424
Sb1 0.165 0.330 0.087


VASP calculation (GGA-PBE) on an optimized crystal structure of NaHgSbAu.

Properties
Energy above the most stable polymorph in this dataset (meV/atom): 75
E_form (uncorrected) (eV/atom): -0.124
Total magnetic moment (μB per cell): 0.0
Space group: F-43m, No. 216
Volume (Å³/atom): 23.09

a b c (Å): 5.074 5.074 5.074
angles (deg): 60.00 60.00 60.00
Fractional coordinates of all 4 atoms:
Au1 0.000 0.000 0.000
Hg1 0.500 0.500 0.500
Na1 0.250 0.250 0.250
Sb1 0.750 0.750 0.750


VASP calculation (GGA-PBE) on an optimized crystal structure of NaHgSbAu2.

Properties
Energy above the most stable polymorph in this dataset (meV/atom): 0
E_form (uncorrected) (eV/atom): 0.034
Total magnetic moment (μB per cell): 0.0
Space group: P4/mmm, No. 123
Volume (Å³/atom): 33.14

a b c (Å): 5.229 6.060 5.229
angles (deg): 90.00 90.00 90.00
Fractional coordinates of all 5 atoms:
Na1 0.000 0.500 0.000
Hg1 0.500 0.500 0.500
Sb1 0.000 0.000 0.000
Au1 0.500 0.000 0.000
Au2 0.000 0.000 0.500


VASP calculation (GGA-PBE) on an optimized crystal structure of NaScHgAu.

Properties
Total magnetic moment (μB per cell): 0.0
Space group: F-43m, No. 216
DFT formation energy (eV per atom): -0.350
Volume (Å³/atom): 20.96

a b c (Å): 4.913 4.913 4.913
angles (deg): 60.00 60.00 60.00
Fractional coordinates of all 4 atoms:
Au1 0.500 0.500 0.500
Na1 0.750 0.750 0.750
Hg1 0.000 0.000 0.000
Sc1 0.250 0.250 0.250


VASP calculation (GGA-PBE) on an optimized crystal structure of NaSiHg2Au.

Properties
E_form (uncorrected) (eV/atom): 0.029
Total magnetic moment (μB per cell): 0.0
Space group: P4/mmm, No. 123
Volume (Å³/atom): 26.06

a b c (Å): 5.181 5.181 4.855
angles (deg): 90.00 90.00 90.00
Fractional coordinates of all 5 atoms:
Hg1 0.000 0.500 0.000
Na1 0.500 0.500 0.500
Hg2 0.500 0.000 0.000
Si1 0.000 0.000 0.000
Au1 0.000 0.000 0.500


Number 1: final energy -12.50 eV for the cell shown. Number 2: final energy -8.05 eV for the cell shown. Number 3: final energy -7.63 eV for the cell shown. Number 4: final energy -9.82 eV for the cell shown. Number 5: final energy -9.52 eV for the cell shown. Number 6: final energy -12.13 eV for the cell shown. Number 7: final energy -12.63 eV for the cell shown. Number 8: final energy -10.48 eV for the cell shown.